TaVTcW: relaxed, PBE.

Cell: 4.4385 4.4385 4.4385 Å, 60.00 60.00 60.00°
With the nearest neighbours (Å) after each atom.
Sites, in units of the cell vectors:
Ta  0.0000  0.0000  0.0000  4 Tc 2.72, 4 V 2.72
V  0.2500  0.2500  0.2500  4 Ta 2.72, 4 W 2.72
Tc  0.7500  0.7500  0.7500  4 Ta 2.72, 4 W 2.72
W  0.5000  0.5000  0.5000  4 Tc 2.72, 4 V 2.72

Output
Energy of formation from the pure elements   -0.810 eV per formula unit
Mass density   13.8 g/cm³
ΔE to the lowest computed polymorph   36.4 meV per atom
Raw total energy   -0.8287 Ry/atom

ZrTaVTc: relaxed, PBE.

Cell: 4.5878 4.5878 4.5878 Å, 60.00 60.00 60.00°
With the nearest neighbours (Å) after each atom.
Sites, in units of the cell vectors:
Zr  0.0000  0.0000  0.0000  4 Tc 2.81, 4 V 2.81
Ta  0.5000  0.5000  0.5000  4 V 2.81, 4 Tc 2.81
V  0.2500  0.2500  0.2500  4 Ta 2.81, 4 Zr 2.81
Tc  0.7500  0.7500  0.7500  4 Ta 2.81, 4 Zr 2.81

Output
Energy of formation from the pure elements   -0.571 eV per formula unit
Mass density   10.2 g/cm³
Raw total energy   -0.7434 Ry/atom

TaTc2W: relaxed, PBE.

Cell: 5.1976 5.1976 2.7715 Å, 100.99 100.99 115.12°
With the nearest neighbours (Å) after each atom.
Sites, in units of the cell vectors:
Ta  0.0000  0.0000  0.0000  4 Tc 2.70, 2 Ta 2.77, 2 W 2.79
Tc  0.0000  0.5000  0.5000  2 Ta 2.70, 2 W 2.70, 4 Tc 2.77-2.79
Tc  0.5000  0.0000  0.5000  2 Ta 2.70, 2 W 2.70, 4 Tc 2.77-2.79
W  0.5000  0.5000  0.0000  4 Tc 2.70, 2 W 2.77, 2 Ta 2.79

Output
Energy of formation from the pure elements   -0.240 eV per formula unit
Mass density   14.7 g/cm³
Raw total energy   -0.8412 Ry/atom

Ta6TcW2: relaxed, PBE.

Cell: 7.6585 7.6585 4.4306 Å, 106.74 106.74 48.22°
With the nearest neighbours (Å) after each atom.
Sites, in units of the cell vectors:
Ta  0.0831  0.5867  0.3348  1 Tc 2.69, 3 W 2.72-2.73
Ta  0.2474  0.7526  0.0000  2 Tc 2.70, 2 W 2.71
Ta  0.4133  0.9169  0.6652  1 Tc 2.69, 3 W 2.72-2.73
Ta  0.5867  0.0831  0.3348  1 Tc 2.69, 3 W 2.72-2.73
Ta  0.7526  0.2474  0.0000  2 Tc 2.70, 2 W 2.71
Ta  0.9169  0.4133  0.6652  1 Tc 2.69, 3 W 2.72-2.73
Tc  0.0000  0.0000  0.5000  8 Ta 2.69-2.70
W  0.3339  0.3339  0.8340  8 Ta 2.71-2.73
W  0.6661  0.6661  0.1660  8 Ta 2.71-2.73

Output
Energy of formation from the pure elements   4.946 eV per formula unit
Mass density   14.0 g/cm³
ΔE to the lowest computed polymorph   439.2 meV per atom
Raw total energy   -0.8366 Ry/atom

Ta3Tc2W3: relaxed, PBE.

Cell: 7.1019 7.1019 3.1369 Å, 90.00 90.00 120.00°
With the nearest neighbours (Å) after each atom.
Sites, in units of the cell vectors:
Ta  0.0000  0.5907  0.0000  4 Tc 2.66, 4 W 2.97
Ta  0.4093  0.4093  0.0000  4 Tc 2.66, 4 W 2.97
Ta  0.5907  0.0000  0.0000  4 Tc 2.66, 4 W 2.97
Tc  0.3333  0.6667  0.5000  6 Ta 2.66, 3 W 2.90
Tc  0.6667  0.3333  0.5000  6 Ta 2.66, 3 W 2.90
W  0.0000  0.2116  0.5000  2 W 2.60, 2 Tc 2.90
W  0.2116  0.0000  0.5000  2 W 2.60, 2 Tc 2.90
W  0.7884  0.7884  0.5000  2 W 2.60, 2 Tc 2.90

Output
Energy of formation from the pure elements   2.357 eV per formula unit
Mass density   15.6 g/cm³
Raw total energy   -0.8525 Ry/atom

TaTc2W: relaxed, PBE.

Cell: 5.7233 5.7233 5.7233 Å, 102.64 102.64 124.22°
With the nearest neighbours (Å) after each atom.
Sites, in units of the cell vectors:
Ta  0.0000  0.0000  0.0000  4 Tc 2.67, 2 W 2.68
Ta  0.7500  0.2500  0.5000  4 Tc 2.67, 2 W 2.68
Tc  0.1366  0.1250  0.5116  2 W 2.56, 2 Ta 2.67, 2 Tc 2.68
Tc  0.3750  0.8634  0.9884  2 W 2.56, 2 Ta 2.67, 2 Tc 2.68
Tc  0.6134  0.6250  0.4884  2 W 2.56, 2 Ta 2.67, 2 Tc 2.68
Tc  0.8750  0.3866  0.0116  2 W 2.56, 2 Ta 2.67, 2 Tc 2.68
W  0.2500  0.7500  0.5000  4 Tc 2.56, 2 Ta 2.68
W  0.5000  0.5000  0.0000  4 Tc 2.56, 2 Ta 2.68

Output
Energy of formation from the pure elements   2.762 eV per formula unit
Mass density   13.6 g/cm³
Raw total energy   -0.7860 Ry/atom

TaTcW: relaxed, PBE.

Cell: 7.0652 6.8703 2.7892 Å, 82.41 74.56 23.04°
With the nearest neighbours (Å) after each atom.
Sites, in units of the cell vectors:
Ta  0.0000  0.0000  0.0000  2 Tc 2.74, 4 Ta 2.79, 2 W 2.80
Tc  0.3334  0.3334  0.6666  2 W 2.68, 2 Ta 2.74, 4 Tc 2.79
W  0.6724  0.6724  0.3276  2 Tc 2.68, 4 W 2.79, 2 Ta 2.80

Output
Energy of formation from the pure elements   -0.196 eV per formula unit
Mass density   15.8 g/cm³
ΔE to the lowest computed polymorph   122.1 meV per atom
Raw total energy   -0.8665 Ry/atom

TaTc2W: relaxed, PBE.

Cell: 8.7238 8.7238 8.7238 Å, 19.49 19.49 19.49°
With the nearest neighbours (Å) after each atom.
Sites, in units of the cell vectors:
Ta  0.0000  0.0000  0.0000  6 Tc 2.76, 6 Ta 2.95
Tc  0.2487  0.2487  0.2487  3 W 2.71, 3 Ta 2.76, 6 Tc 2.95
Tc  0.7513  0.7513  0.7513  3 W 2.71, 3 Ta 2.76, 6 Tc 2.95
W  0.5000  0.5000  0.5000  6 Tc 2.71, 6 W 2.95

Output
Energy of formation from the pure elements   0.640 eV per formula unit
Mass density   14.4 g/cm³
Raw total energy   -0.8250 Ry/atom